Record 1
Here is crystalline Sr2Ga7Rh at its relaxed geometry from Alexandria. Energies are from PBE.

VASP energy, eV/atom: -3.650
Calculated formation energy, eV/atom: -0.46

a = 4.3931 Å, b = 4.3931 Å, c = 10.8404 Å
α = 90.00°, β = 90.00°, γ = 90.00°
Closest atoms and distances in Å follow each position.
Space group P-4m2 (No. 115)
One atom of each set of equivalent atoms:
Sr  0.0000  0.5000  0.2450 (multiplicity 2)  14 Ga 3.36-3.53, 2 Rh 3.45
Ga  0.0000  0.0000  0.0000 (multiplicity 1)  4 Ga 2.57
Ga  0.0000  0.0000  0.5000 (multiplicity 1)  4 Ga 2.65
Ga  0.0000  0.5000  0.6371 (multiplicity 2)  5 Ga 2.60-2.65
Ga  0.0000  0.5000  0.8770 (multiplicity 2)  2 Rh 2.57, 3 Ga 2.57-2.60
Ga  0.5000  0.5000  0.5000 (multiplicity 1)  4 Ga 2.65
Rh  0.5000  0.5000  0.0000 (multiplicity 1)  4 Ga 2.57



Record 2
Here is crystalline Zr2MoPSe at its relaxed geometry from Alexandria. Energies are from PBE.

VASP energy, eV/atom: -6.845

a = 4.9902 Å, b = 4.9902 Å, c = 4.5332 Å
α = 90.00°, β = 90.00°, γ = 90.00°
Closest atoms and distances in Å follow each position.
Space group P4/mmm (No. 123)
One atom of each set of equivalent atoms:
Zr  0.0000  0.5000  0.0000 (multiplicity 2)  2 Se 2.50
Mo  0.0000  0.0000  0.5000 (multiplicity 1)  2 Se 2.27
P  0.5000  0.5000  0.5000 (multiplicity 1)  8 Zr 3.37, 4 Mo 3.53
Se  0.0000  0.0000  0.0000 (multiplicity 1)  2 Mo 2.27, 4 Zr 2.50